Record 1
VASP calculation (PBE-GGA) on a geometry-optimized Ho2ErHg2 structure.

```
Ho2ErHg2
1.0
3.702 0.000 -0.498
0.000 5.254 0.000
-0.064 0.000 13.645
Ho Er Hg
4 2 4
Cartesian
0.167 3.941 1.269 Ho
3.472 1.314 11.878 Ho
0.842 3.941 6.316 Ho
2.797 1.314 6.831 Ho
3.115 3.941 9.222 Er
0.524 1.314 3.925 Er
2.365 3.941 3.612 Hg
1.274 1.314 9.535 Hg
1.617 3.941 12.103 Hg
2.022 1.314 1.044 Hg
```

Properties
Final energy, eV/atom: -3.249
Polymorph energy (0 for the lowest one), meV per atom: 0
Crystal system: monoclinic
Formation enthalpy at 0 K, eV per atom: -0.385

Record 2
VASP calculation (PBE-GGA) on a geometry-optimized Ho2ErHg5 structure.

```
Ho2ErHg5
1.0
5.182 0.000 0.000
0.000 5.182 0.000
-2.591 -2.591 7.264
Ho Er Hg
2 1 5
Cartesian
2.591 2.591 3.439 Ho
0.000 0.000 3.825 Ho
0.000 0.000 0.000 Er
2.591 2.591 0.000 Hg
2.591 0.000 5.456 Hg
0.000 2.591 5.456 Hg
0.000 2.591 1.808 Hg
2.591 0.000 1.808 Hg
```

Properties
Final energy, eV/atom: -2.310
Crystal system: tetragonal
Formation enthalpy at 0 K, eV per atom: -0.407

Record 3
VASP calculation (PBE-GGA) on a geometry-optimized Ho2ErHg8 structure.

```
Ho2ErHg8
1.0
4.910 0.000 0.000
0.000 7.211 0.210
-2.455 -2.836 7.446
Ho Er Hg
2 1 8
Cartesian
2.455 0.866 4.303 Ho
0.000 3.509 3.353 Ho
2.455 0.000 0.000 Er
0.000 1.659 6.110 Hg
2.455 5.524 2.744 Hg
2.455 3.899 5.393 Hg
2.455 -0.727 7.059 Hg
0.000 0.477 2.263 Hg
0.000 -1.149 4.912 Hg
2.455 2.717 1.545 Hg
0.000 5.102 0.596 Hg
```

Properties
Final energy, eV/atom: -1.766
Crystal system: monoclinic
Formation enthalpy at 0 K, eV per atom: -0.299